Compound: K2HfMoO6
Source: Alexandria via LeMat-Bulk
Functional: PBE with a Hubbard U
Structure: relaxed

## Properties
Magnetization: 0.0 Bohr magnetons per cell
DOS(E_F): 0.0 states/eV/f.u.
E_tot: -7.21 eV per atom
Space-group type: No. 99

Lattice parameters (Å, degrees): 4.157 5.716 5.716 90.00 90.00 90.00
Fractional positions:
O (0.653, 0.237, 0.237)
O (0.653, 0.237, 0.763)
O (0.164, 0.000, 0.000)
O (0.653, 0.763, 0.237)
O (0.153, 0.500, 0.500)
O (0.653, 0.763, 0.763)
K (0.135, 0.000, 0.500)
K (0.135, 0.500, 0.000)
Mo (0.598, 0.000, 0.000)
Hf (0.650, 0.500, 0.500)